[1]
{
  "formula": "AgGe2Te3",
  "functional": "GGA-PBE",
  "state": "relaxed",
  "e_above_lowest_polymorph_mev_per_atom": 0,
  "spacegroup": "No. 71",
  "lattice": [[-2.684, 0.750, -3.161], [2.940, -3.795, -3.396], [-3.829, -3.163, 5.311]],
  "species": ["Ag", "Ge", "Ge", "Te", "Te", "Te"],
  "fractional_positions": [[0.500, 0.500, 0.500], [0.831, 0.831, 0.163], [0.169, 0.169, 0.837], [0.831, 0.331, 0.163], [0.169, 0.669, 0.837], [0.500, 0.000, 0.500]]
}


[2]
{
  "formula": "Ag14Ge2Te9",
  "functional": "GGA-PBE",
  "state": "relaxed",
  "total_energy_ev_per_atom": -3.11,
  "spacegroup": "No. 2",
  "lattice": [[-4.671, -5.062, 4.310], [7.917, 0.602, 1.868], [-2.664, 8.324, 7.340]],
  "species": ["Ag", "Ag", "Ag", "Ag", "Ag", "Ag", "Ag", "Ag", "Ag", "Ag", "Ag", "Ag", "Ag", "Ag", "Ge", "Ge", "Te", "Te", "Te", "Te", "Te", "Te", "Te", "Te", "Te"],
  "fractional_positions": [[0.960, 0.649, 0.902], [0.306, 0.988, 0.608], [0.965, 0.242, 0.584], [0.031, 0.055, 0.259], [0.969, 0.945, 0.741], [0.347, 0.339, 0.942], [0.672, 0.986, 0.896], [0.330, 0.402, 0.429], [0.670, 0.598, 0.571], [0.328, 0.014, 0.104], [0.653, 0.661, 0.058], [0.035, 0.758, 0.416], [0.694, 0.012, 0.392], [0.040, 0.351, 0.098], [0.346, 0.710, 0.249], [0.654, 0.290, 0.751], [0.375, 0.071, 0.350], [0.996, 0.383, 0.342], [0.323, 0.685, 0.990], [0.000, 0.000, 0.000], [0.321, 0.325, 0.685], [0.679, 0.675, 0.315], [0.677, 0.315, 0.010], [0.004, 0.617, 0.658], [0.625, 0.929, 0.650]]
}


[3]
{
  "formula": "AgGe4Te5",
  "functional": "GGA-PBE",
  "state": "relaxed",
  "total_energy_ev_per_atom": -3.76,
  "spacegroup": "No. 139",
  "lattice": [[4.160, 0.000, -0.586], [-0.083, 4.160, -0.586], [0.043, 0.043, 15.355]],
  "species": ["Ag", "Ge", "Ge", "Ge", "Ge", "Te", "Te", "Te", "Te", "Te"],
  "fractional_positions": [[0.000, 0.000, 0.000], [0.399, 0.399, 0.799], [0.803, 0.803, 0.606], [0.197, 0.197, 0.394], [0.601, 0.601, 0.201], [0.101, 0.101, 0.202], [0.500, 0.500, 0.000], [0.899, 0.899, 0.798], [0.300, 0.300, 0.601], [0.700, 0.700, 0.399]]
}


[4]
{
  "formula": "AgGe6Te8",
  "functional": "GGA-PBE",
  "state": "relaxed",
  "total_energy_ev_per_atom": -3.70,
  "spacegroup": "No. 148",
  "lattice": [[7.637, 0.644, 0.665], [0.406, 7.653, 0.665], [0.406, 0.418, 7.671]],
  "species": ["Ag", "Ge", "Ge", "Ge", "Ge", "Ge", "Ge", "Te", "Te", "Te", "Te", "Te", "Te", "Te", "Te"],
  "fractional_positions": [[0.000, 0.000, 0.000], [0.618, 0.387, 0.866], [0.387, 0.866, 0.618], [0.866, 0.618, 0.387], [0.382, 0.613, 0.134], [0.613, 0.134, 0.382], [0.134, 0.382, 0.613], [0.716, 0.716, 0.716], [0.284, 0.284, 0.284], [0.668, 0.864, 0.169], [0.864, 0.169, 0.668], [0.169, 0.668, 0.864], [0.332, 0.136, 0.831], [0.136, 0.831, 0.332], [0.831, 0.332, 0.136]]
}


[5]
{
  "formula": "AgGe2Te2",
  "functional": "GGA-PBE",
  "state": "relaxed",
  "e_above_lowest_polymorph_mev_per_atom": 0,
  "spacegroup": "No. 139",
  "lattice": [[5.661, 0.000, 0.000], [0.000, 5.661, 0.000], [2.831, 2.831, 4.044]],
  "species": ["Ge", "Ge", "Te", "Te", "Ag"],
  "fractional_positions": [[0.337, 0.337, 0.327], [0.663, 0.663, 0.673], [0.750, 0.250, 0.500], [0.250, 0.750, 0.500], [0.000, 0.000, 0.000]]
}


[6]
{
  "formula": "Ag3GeTe4",
  "functional": "GGA-PBE",
  "state": "relaxed",
  "e_above_lowest_polymorph_mev_per_atom": 0,
  "spacegroup": "No. 121",
  "lattice": [[-3.591, -0.715, 5.153], [-0.200, -6.238, -1.004], [7.146, 2.735, 1.482]],
  "species": ["Ge", "Te", "Te", "Te", "Te", "Ag", "Ag", "Ag"],
  "fractional_positions": [[0.000, 0.000, 0.000], [0.363, 0.363, 0.244], [0.881, 0.881, 0.244], [0.119, 0.637, 0.756], [0.637, 0.119, 0.756], [0.500, 0.500, 0.000], [0.750, 0.250, 0.500], [0.250, 0.750, 0.500]]
}


[7]
{
  "formula": "Ag2Ge2Te7",
  "functional": "GGA-PBE",
  "state": "relaxed",
  "total_energy_ev_per_atom": -3.25,
  "spacegroup": "No. 12",
  "lattice": [[-0.466, -5.932, -0.863], [1.166, 1.912, -7.829], [6.624, -0.342, 4.723]],
  "species": ["Ag", "Ag", "Ge", "Ge", "Te", "Te", "Te", "Te", "Te", "Te", "Te"],
  "fractional_positions": [[0.000, 0.325, 0.675], [0.000, 0.675, 0.325], [0.293, 0.270, 0.270], [0.707, 0.730, 0.730], [0.722, 0.966, 0.536], [0.278, 0.464, 0.034], [0.278, 0.034, 0.464], [0.722, 0.536, 0.966], [0.500, 0.000, 0.000], [0.237, 0.657, 0.657], [0.763, 0.343, 0.343]]
}


[8]
{
  "formula": "Ag3GeTe",
  "functional": "GGA-PBE",
  "state": "relaxed",
  "e_above_lowest_polymorph_mev_per_atom": 243,
  "spacegroup": "No. 221",
  "lattice": [[5.288, 0.000, 0.000], [0.000, 5.288, 0.000], [0.000, 0.000, 5.288]],
  "species": ["Ge", "Te", "Ag", "Ag", "Ag"],
  "fractional_positions": [[0.500, 0.500, 0.500], [0.000, 0.000, 0.000], [0.000, 0.500, 0.000], [0.000, 0.000, 0.500], [0.500, 0.000, 0.000]]
}


Number 1: density 6756 kg/m3. Number 2: density 7030 kg/m3. Number 3: density 6472 kg/m3. Number 4: density 5872 kg/m3. Number 5: density 6514 kg/m3. Number 6: density 5901 kg/m3. Number 7: density 5974 kg/m3. Number 8: density 5882 kg/m3.